No. 1
# TmScBe

A geometry-optimized TmScBe structure (PBE, the Alexandria database).

Unit cell a=3.0753 b=4.5416 c=4.7700 alpha=90.00 beta=90.00 gamma=90.00
With the nearest neighbours (Å) after each atom.
Positions (direct):
Sc: 0.0000 0.5000 0.5000  4 Be 2.74
Tm: 0.0000 0.0000 0.0000  4 Be 2.84, 2 Tm 3.08
Be: 0.5000 0.0000 0.5000  4 Sc 2.74, 4 Tm 2.84

Values from the calculation:
E_tot = -13.77 eV/cell
Crystal system = orthorhombic
Space-group type = Pmmm (47)
ΔE_f = 0.8 eV/f.u.

=====

No. 2
# SrTb2Ga6

A geometry-optimized SrTb2Ga6 structure (PBE, the Alexandria database).

Unit cell a=4.4709 b=7.8022 c=7.8022 alpha=56.22 beta=73.35 gamma=73.35
With the nearest neighbours (Å) after each atom.
Positions (direct):
Ga: 0.3139 0.9883 0.3838  3 Ga 2.59-2.89, 1 Tb 2.85
Ga: 0.3139 0.3838 0.9883  3 Ga 2.59-2.89, 1 Tb 2.85
Ga: 0.6861 0.0117 0.6162  3 Ga 2.59-2.89, 1 Tb 2.85
Tb: 0.8743 0.6257 0.6257  6 Ga 2.85-3.06
Tb: 0.1257 0.3743 0.3743  6 Ga 2.85-3.06
Ga: 0.5000 0.3242 0.6758  3 Ga 2.59
Sr: 0.0000 0.0000 0.0000  12 Ga 3.27-3.60
Ga: 0.5000 0.6758 0.3242  3 Ga 2.59
Ga: 0.6861 0.6162 0.0117  3 Ga 2.59-2.89, 1 Tb 2.85

Values from the calculation:
E_tot = -33.48 eV/cell
Crystal system = orthorhombic
Space-group type = Immm (71)
ΔE_f = -4.4 eV/f.u.

=====

No. 3
# BaEuTe2

A geometry-optimized BaEuTe2 structure (PBE, the Alexandria database).

Unit cell a=4.8174 b=4.8174 c=8.3814 alpha=73.30 beta=73.30 gamma=60.00
With the nearest neighbours (Å) after each atom.
Positions (direct):
Eu: 0.0000 0.0000 0.0000  6 Te 3.33
Te: 0.7436 0.7436 0.7693  3 Eu 3.33, 3 Ba 3.50
Ba: 0.5000 0.5000 0.5000  6 Te 3.50
Te: 0.2564 0.2564 0.2307  3 Eu 3.33, 3 Ba 3.50

Values from the calculation:
E_tot = -25.36 eV/cell
Crystal system = trigonal
Space-group type = R-3m (166)
Raw formation energy = -166 kJ per mole of atoms

=====

No. 4
# AcErNiGe

A geometry-optimized AcErNiGe structure (PBE, the Alexandria database).

Unit cell a=5.1562 b=5.1562 c=5.1562 alpha=60.00 beta=60.00 gamma=60.00
With the nearest neighbours (Å) after each atom.
Positions (direct):
Ni: 0.7500 0.7500 0.7500  4 Ac 3.16, 4 Er 3.16
Ge: 0.2500 0.2500 0.2500  4 Ac 3.16, 4 Er 3.16
Ac: 0.5000 0.5000 0.5000  4 Ge 3.16, 4 Ni 3.16
Er: 0.0000 0.0000 0.0000  4 Ni 3.16, 4 Ge 3.16

Values from the calculation:
E_tot = -20.57 eV/cell
Crystal system = cubic
Space-group type = F-43m (216)
ΔE_f = -1.5 eV/f.u.

=====

No. 5
# CaPmSiHg

A geometry-optimized CaPmSiHg structure (PBE, the Alexandria database).

Unit cell a=5.2324 b=5.2324 c=5.2324 alpha=60.00 beta=60.00 gamma=60.00
With the nearest neighbours (Å) after each atom.
Positions (direct):
Ca: 0.5000 0.5000 0.5000  4 Hg 3.20, 4 Si 3.20
Hg: 0.2500 0.2500 0.2500  4 Pm 3.20, 4 Ca 3.20
Pm: 0.0000 0.0000 0.0000  4 Si 3.20, 4 Hg 3.20
Si: 0.7500 0.7500 0.7500  4 Ca 3.20, 4 Pm 3.20

Values from the calculation:
E_tot = -14.26 eV/cell
Crystal system = cubic
Space-group type = F-43m (216)
Raw formation energy = -43 kJ per mole of atoms

=====

No. 6
# CaAl4Cu4

A geometry-optimized CaAl4Cu4 structure (PBE, the Alexandria database).

Unit cell a=4.4966 b=8.4350 c=8.4350 alpha=90.00 beta=90.00 gamma=90.00
With the nearest neighbours (Å) after each atom.
Positions (direct):
Al: 0.5000 0.6108 0.1081  5 Cu 2.40-2.68, 1 Al 2.61
Cu: 0.5000 0.8186 0.3021  5 Al 2.40-2.68, 2 Cu 2.68
Al: 0.5000 0.8919 0.6108  5 Cu 2.40-2.68, 1 Al 2.61
Cu: 0.5000 0.3021 0.1814  5 Al 2.40-2.68, 2 Cu 2.68
Al: 0.0000 0.6081 0.8892  5 Cu 2.40-2.68, 1 Al 2.61
Cu: 0.0000 0.3186 0.8021  5 Al 2.40-2.68, 2 Cu 2.68
Ca: 0.5000 0.5000 0.5000  4 Cu 3.16, 4 Al 3.44
Al: 0.5000 0.1081 0.3892  5 Cu 2.40-2.68, 1 Al 2.61
Al: 0.0000 0.3919 0.1108  5 Cu 2.40-2.68, 1 Al 2.61
Cu: 0.0000 0.1979 0.3186  5 Al 2.40-2.68, 2 Cu 2.68
Ca: 0.0000 0.0000 0.0000  4 Cu 3.16, 4 Al 3.44
Al: 0.0000 0.1108 0.6081  5 Cu 2.40-2.68, 1 Al 2.61
Cu: 0.0000 0.6814 0.1979  5 Al 2.40-2.68, 2 Cu 2.68
Al: 0.0000 0.8892 0.3919  5 Cu 2.40-2.68, 1 Al 2.61
Cu: 0.0000 0.8021 0.6814  5 Al 2.40-2.68, 2 Cu 2.68
Cu: 0.5000 0.1814 0.6979  5 Al 2.40-2.68, 2 Cu 2.68
Cu: 0.5000 0.6979 0.8186  5 Al 2.40-2.68, 2 Cu 2.68
Al: 0.5000 0.3892 0.8919  5 Cu 2.40-2.68, 1 Al 2.61

Values from the calculation:
E_tot = -70.26 eV/cell
Crystal system = tetragonal
Space-group type = I4/m (87)
ΔE_f = -1.8 eV/f.u.

=====

No. 7
# Zn2SeBr

A geometry-optimized Zn2SeBr structure (PBE, the Alexandria database).

Unit cell a=3.7750 b=3.7750 c=6.4842 alpha=90.00 beta=90.00 gamma=90.00
With the nearest neighbours (Å) after each atom.
Positions (direct):
Zn: 0.5000 0.5000 0.2935  1 Se 2.49, 4 Br 2.77
Zn: 0.0000 0.0000 0.8871  4 Se 2.67
Se: 0.5000 0.5000 0.9097  5 Zn 2.49-2.67
Br: 0.0000 0.0000 0.4096  5 Zn 2.77-3.10

Values from the calculation:
E_tot = -8.98 eV/cell
Crystal system = tetragonal
Space-group type = P4mm (99)
Raw formation energy = -31 kJ per mole of atoms

=====

No. 8
# Y2Pa2Ru3

A geometry-optimized Y2Pa2Ru3 structure (PBE, the Alexandria database).

Unit cell a=5.3453 b=4.3574 c=7.5234 alpha=78.03 beta=69.19 gamma=90.00
With the nearest neighbours (Å) after each atom.
Positions (direct):
Pa: 0.8732 0.3655 0.2535  3 Ru 2.54-2.69
Y: 0.3806 0.8506 0.2387  6 Ru 2.94-3.15
Pa: 0.1268 0.6345 0.7465  3 Ru 2.54-2.69
Ru: 0.2322 0.2317 0.5356  2 Pa 2.54-2.69
Ru: 0.7678 0.7683 0.4644  2 Pa 2.54-2.69
Ru: 0.0000 0.0000 0.0000  4 Pa 2.64-2.94
Y: 0.6194 0.1494 0.7613  6 Ru 2.94-3.15

Values from the calculation:
E_tot = -62.42 eV/cell
Crystal system = monoclinic
Space-group type = C2/m (12)
ΔE_f = -2.7 eV/f.u.

=====

No. 9
# Mn5Ru

A geometry-optimized Mn5Ru structure (PBE, the Alexandria database).

Unit cell a=3.5737 b=3.6845 c=5.8698 alpha=108.29 beta=90.00 gamma=90.00
With the nearest neighbours (Å) after each atom.
Positions (direct):
Mn: 0.0000 0.6657 0.3313  10 Mn 2.57-2.63, 2 Ru 2.61
Mn: 0.0000 0.3343 0.6687  10 Mn 2.57-2.63, 2 Ru 2.61
Mn: 0.5000 0.1688 0.3376  10 Mn 2.57-2.63, 2 Ru 2.59
Mn: 0.5000 0.8312 0.6624  10 Mn 2.57-2.63, 2 Ru 2.59
Ru: 0.0000 0.0000 0.0000  12 Mn 2.57-2.61
Mn: 0.5000 0.5000 0.0000  4 Ru 2.57, 8 Mn 2.57-2.63

Values from the calculation:
E_tot = -55.04 eV/cell
Crystal system = orthorhombic
Space-group type = Cmmm (65)
ΔE_f = 0.1 eV/f.u.

=====

No. 10
# Ac3ZnP2Rh9

A geometry-optimized Ac3ZnP2Rh9 structure (PBE, the Alexandria database).

Unit cell a=6.4342 b=6.4342 c=8.0969 alpha=90.00 beta=90.00 gamma=120.00
With the nearest neighbours (Å) after each atom.
Positions (direct):
P: 0.6667 0.3333 0.8388  6 Rh 2.20-2.27
Rh: 0.3395 0.1698 0.6864  1 P 2.20, 1 Zn 2.42
P: 0.3333 0.6667 0.1612  6 Rh 2.20-2.27
Rh: 0.6605 0.8302 0.3136  1 P 2.20, 1 Zn 2.42
Ac: 0.0000 0.0000 0.0000  12 Rh 3.17-3.22
Rh: 0.8302 0.1698 0.6864  1 P 2.20, 1 Zn 2.42
Ac: 0.6667 0.3333 0.3460  12 Rh 3.23-3.36
Rh: 0.0000 0.5000 0.0000  2 P 2.27
Rh: 0.5000 0.5000 0.0000  2 P 2.27
Rh: 0.5000 0.0000 0.0000  2 P 2.27
Rh: 0.1698 0.8302 0.3136  1 P 2.20, 1 Zn 2.42
Rh: 0.8302 0.6605 0.6864  1 P 2.20, 1 Zn 2.42
Zn: 0.0000 0.0000 0.5000  6 Rh 2.42
Ac: 0.3333 0.6667 0.6540  12 Rh 3.23-3.36
Rh: 0.1698 0.3395 0.3136  1 P 2.20, 1 Zn 2.42

Values from the calculation:
E_tot = -99.84 eV/cell
Crystal system = trigonal
Space-group type = P-3m1 (164)
ΔE_f = -9.3 eV/f.u.

=====

No. 11
# TmMg2Pd3

A geometry-optimized TmMg2Pd3 structure (PBE, the Alexandria database).

Unit cell a=3.2938 b=3.2938 c=9.8266 alpha=90.00 beta=90.00 gamma=90.00
With the nearest neighbours (Å) after each atom.
Positions (direct):
Pd: 0.0000 0.0000 0.6812  4 Mg 2.82, 4 Tm 2.93, 1 Pd 3.13
Pd: 0.0000 0.0000 0.3188  4 Mg 2.82, 4 Tm 2.93, 1 Pd 3.13
Mg: 0.5000 0.5000 0.8429  8 Pd 2.79-2.82, 1 Mg 3.09
Tm: 0.5000 0.5000 0.5000  8 Pd 2.93
Pd: 0.0000 0.0000 0.0000  8 Mg 2.79
Mg: 0.5000 0.5000 0.1571  8 Pd 2.79-2.82, 1 Mg 3.09

Values from the calculation:
E_tot = -28.01 eV/cell
Crystal system = tetragonal
Space-group type = P4/mmm (123)
ΔE_f = -4.8 eV/f.u.

=====

No. 12
# GdTmAlRh

A geometry-optimized GdTmAlRh structure (PBE, the Alexandria database).

Unit cell a=4.9801 b=4.9801 c=4.9801 alpha=60.00 beta=60.00 gamma=60.00
With the nearest neighbours (Å) after each atom.
Positions (direct):
Al: 0.5000 0.5000 0.5000  4 Gd 3.05, 4 Tm 3.05
Gd: 0.7500 0.7500 0.7500  4 Rh 3.05, 4 Al 3.05
Rh: 0.0000 0.0000 0.0000  4 Tm 3.05, 4 Gd 3.05
Tm: 0.2500 0.2500 0.2500  4 Al 3.05, 4 Rh 3.05

Values from the calculation:
E_tot = -31.88 eV/cell
Crystal system = cubic
Space-group type = F-43m (216)
ΔE_f = -2.2 eV/f.u.

=====

- What is the formula in the sixth record?
  CaAl4Cu4